# 1
A plane-wave DFT calculation with PBE-GGA was carried out for a relaxed Sr2CuRu crystal.

Structure (extended XYZ):
```
12
Lattice="3.8229 0.0000 0.0000 -1.9114 3.3107 0.0000 0.0000 0.0000 26.1003" Properties=species:S:1:pos:R:3 pbc="T T T"
Sr 0.0000 0.0000 6.3967
Sr 0.0000 0.0000 19.7035
Sr 0.0000 2.2071 11.0035
Sr 0.0000 2.2071 23.7969
Sr 1.9114 1.1036 2.3033
Sr 1.9114 1.1036 15.0968
Cu 0.0000 0.0000 0.0000
Cu 0.0000 2.2071 17.4002
Cu 1.9114 1.1036 8.7001
Ru 0.0000 0.0000 13.0501
Ru 0.0000 2.2071 4.3501
Ru 1.9114 1.1036 21.7502
```

Values from the calculation:
As for the space group: R-3m. As for the calculated volume: 330 Å³ per cell. Its formation energy is 0.572 eV per atom.

# 2
A plane-wave DFT calculation with PBE-GGA was carried out for a relaxed SrCu2Ru crystal.

Structure (extended XYZ):
```
12
Lattice="2.9143 0.0000 0.0000 -1.4572 2.5239 0.0000 0.0000 0.0000 28.0352" Properties=species:S:1:pos:R:3 pbc="T T T"
Sr 0.0000 0.0000 0.0000
Sr 0.0000 1.6826 18.6901
Sr 1.4572 0.8413 9.3450
Cu 0.0000 0.0000 6.6868
Cu 0.0000 0.0000 21.3484
Cu 0.0000 1.6826 12.0033
Cu 0.0000 1.6826 25.3769
Cu 1.4572 0.8413 2.6583
Cu 1.4572 0.8413 16.0319
Ru 0.0000 0.0000 14.0176
Ru 0.0000 1.6826 4.6725
Ru 1.4572 0.8413 23.3626
```

Values from the calculation:
As for the polymorph energy (0 for the lowest one): 0.693 eV/atom. As for the space group: R-3m. As for the calculated volume: 206 Å³ per cell. Its formation energy is 0.848 eV per atom.

# 3
A plane-wave DFT calculation with PBE-GGA was carried out for a relaxed Sr2CuRu crystal.

Structure (extended XYZ):
```
8
Lattice="4.4697 0.0000 0.0000 0.0000 4.4697 0.0000 0.0000 0.0000 9.6891" Properties=species:S:1:pos:R:3 pbc="T T T"
Sr 0.0000 0.0000 0.0000
Sr 0.0000 2.2349 2.4223
Sr 2.2349 0.0000 7.2668
Sr 2.2349 2.2349 4.8446
Cu 0.0000 2.2349 7.2668
Cu 2.2349 0.0000 2.4223
Ru 0.0000 0.0000 4.8446
Ru 2.2349 2.2349 0.0000
```

Values from the calculation:
As for the space group: I-4m2. As for the calculated volume: 194 Å³ per cell. Its formation energy is 0.537 eV per atom.

# 4
A plane-wave DFT calculation with PBE-GGA was carried out for a relaxed Sr2Cu2Ru crystal.

Structure (extended XYZ):
```
10
Lattice="6.9396 0.0000 0.0000 0.0000 6.9396 0.0000 0.0000 0.0000 4.6549" Properties=species:S:1:pos:R:3 pbc="T T T"
Sr 1.2801 2.1897 0.0000
Sr 2.1897 5.6595 0.0000
Sr 4.7499 1.2801 0.0000
Sr 5.6595 4.7499 0.0000
Cu 0.9016 4.3713 2.3275
Cu 2.5682 0.9016 2.3275
Cu 4.3713 6.0380 2.3275
Cu 6.0380 2.5682 2.3275
Ru 0.0000 0.0000 2.3275
Ru 3.4698 3.4698 2.3275
```

Values from the calculation:
As for the space group: P4/mbm. As for the calculated volume: 224 Å³ per cell. Its formation energy is 0.295 eV per atom.

# 5
A plane-wave DFT calculation with PBE-GGA was carried out for a relaxed Sr3CuRu crystal.

Structure (extended XYZ):
```
5
Lattice="5.6544 0.0000 0.0000 0.0000 5.6544 0.0000 0.0000 0.0000 5.6544" Properties=species:S:1:pos:R:3 pbc="T T T"
Sr 0.0000 0.0000 2.8272
Sr 0.0000 2.8272 0.0000
Sr 2.8272 0.0000 0.0000
Cu 2.8272 2.8272 2.8272
Ru 0.0000 0.0000 0.0000
```

Values from the calculation:
As for the polymorph energy (0 for the lowest one): 0.000 eV/atom. As for the space group: Pm-3m. As for the calculated volume: 181 Å³ per cell. Its formation energy is 0.438 eV per atom.

# 6
A plane-wave DFT calculation with PBE-GGA was carried out for a relaxed Sr2CuRu crystal.

Structure (extended XYZ):
```
8
Lattice="4.1184 0.0000 0.0000 0.0000 4.5611 0.0000 0.0000 0.0000 12.4367" Properties=species:S:1:pos:R:3 pbc="T T T"
Sr 0.0000 0.0000 0.0000
Sr 0.0000 2.2806 3.0530
Sr 2.0592 0.0000 9.2714
Sr 2.0592 2.2806 6.2183
Cu 0.0000 0.0000 5.3389
Cu 2.0592 2.2806 11.5572
Ru 0.0000 2.2806 10.3264
Ru 2.0592 0.0000 4.1081
```

Values from the calculation:
As for the space group: Imm2. As for the calculated volume: 234 Å³ per cell. Its formation energy is 0.295 eV per atom.